# MgWF2

MgWF2 after structural relaxation (PBE with a Hubbard U, Alexandria).

a b c (Å): 7.8294 7.8294 7.8294
angles (deg): 23.17 23.17 23.17
With the nearest neighbours (Å) after each atom.
Fractional positions:
W 0.5000 0.5000 0.5000  6 F 2.42
F 0.0969 0.0969 0.0969  1 Mg 2.21, 3 W 2.42
F 0.9031 0.9031 0.9031  1 Mg 2.21, 3 W 2.42
Mg 0.0000 0.0000 0.0000  2 F 2.21

Volume (Å³ per atom): 16.30
ΔE to the lowest computed polymorph (meV per atom): 573
Spin magnetization (μB per formula unit): 2.257
ρ (Mg/m³): 6.27
VASP energy (eV/atom): -4.07